1.
First-principles (PBE-GGA) data for a relaxed ZrCuOs2 crystal, as listed in the Alexandria database.

The structure belongs to space group F-43m (No. 216); the cell edges are 6.3131, 6.3131 and 6.3131 Å and the angles 90.00°, 90.00° and 90.00°. The distinct sites, in fractional coordinates, are Zr at (0.0000, 0.0000, 0.0000), Cu at (0.2500, 0.2500, 0.7500), Os at (0.0000, 0.0000, 0.5000) and Os at (0.2500, 0.2500, 0.2500).

---

2.
First-principles (PBE-GGA) data for a relaxed Zr4CuOs3 crystal, as listed in the Alexandria database.

The structure belongs to space group Pmmm (No. 47); the cell edges are 3.2584, 4.6716 and 9.3504 Å and the angles 90.00°, 90.00° and 90.00°. The distinct sites, in fractional coordinates, are Zr at (0.0000, 0.0000, 0.0000), Zr at (0.0000, 0.0000, 0.5000), Zr at (0.0000, 0.5000, 0.2504), Cu at (0.5000, 0.5000, 0.0000), Os at (0.5000, 0.0000, 0.2498) and Os at (0.5000, 0.5000, 0.5000).

---

3.
First-principles (PBE-GGA) data for a relaxed Zr2CuOs crystal, as listed in the Alexandria database.

The structure belongs to space group P4/mmm (No. 123); the cell edges are 4.6724, 4.6724 and 3.2498 Å and the angles 90.00°, 90.00° and 90.00°. The distinct sites, in fractional coordinates, are Zr at (0.0000, 0.5000, 0.0000), Cu at (0.0000, 0.0000, 0.5000) and Os at (0.5000, 0.5000, 0.5000).

---

4.
First-principles (PBE-GGA) data for a relaxed Zr2CuOs crystal, as listed in the Alexandria database.

The structure belongs to space group Imm2 (No. 44); the cell edges are 3.3061, 4.5299 and 9.6336 Å and the angles 90.00°, 90.00° and 90.00°. The distinct sites, in fractional coordinates, are Zr at (0.0000, 0.0000, 0.0000), Zr at (0.0000, 0.5000, 0.2262), Cu at (0.0000, 0.0000, 0.4523) and Os at (0.0000, 0.5000, 0.7313).

---

5.
First-principles (PBE-GGA) data for a relaxed ZrCu2Os crystal, as listed in the Alexandria database.

The structure belongs to space group R-3m (No. 166, hexagonal axes); the cell edges are 2.7481, 2.7481 and 27.7095 Å and the angles 90.00°, 90.00° and 120.00°. The distinct sites, in fractional coordinates, are Zr at (0.0000, 0.0000, 0.0000), Cu at (0.0000, 0.0000, 0.2440) and Os at (0.0000, 0.0000, 0.5000).

---

6.
First-principles (PBE-GGA) data for a relaxed ZrCu2Os crystal, as listed in the Alexandria database.

The structure belongs to space group F-43m (No. 216); the cell edges are 6.2823, 6.2823 and 6.2823 Å and the angles 90.00°, 90.00° and 90.00°. The distinct sites, in fractional coordinates, are Zr at (0.0000, 0.0000, 0.0000), Cu at (0.0000, 0.0000, 0.5000), Cu at (0.2500, 0.2500, 0.2500) and Os at (0.2500, 0.2500, 0.7500).

---

7.
First-principles (PBE-GGA) data for a relaxed ZrCuOs2 crystal, as listed in the Alexandria database.

The structure belongs to space group P4mm (No. 99); the cell edges are 3.2424, 3.2424 and 5.9714 Å and the angles 90.00°, 90.00° and 90.00°. The distinct sites, in fractional coordinates, are Zr at (0.0000, 0.0000, 0.0000), Cu at (0.5000, 0.5000, 0.2676), Os at (0.0000, 0.0000, 0.4700) and Os at (0.5000, 0.5000, 0.7234).

---

8.
First-principles (PBE-GGA) data for a relaxed ZrCuOs2 crystal, as listed in the Alexandria database.

The structure belongs to space group I-42d (No. 122); the cell edges are 3.9584, 3.9584 and 18.0737 Å and the angles 90.00°, 90.00° and 90.00°. The distinct sites, in fractional coordinates, are Zr at (0.0000, 0.0000, 0.0000), Cu at (0.0000, 0.0000, 0.5000) and Os at (0.1740, 0.2500, 0.6250).

---

| no. | ΔH_f (0 K) (eV/f.u.) |
| --- | --- |
| 1 | 0.77 |
| 2 | -3.52 |
| 3 | -1.35 |
| 4 | -0.55 |
| 5 | 1.25 |
| 6 | 0.31 |
| 7 | 0.81 |
| 8 | 1.54 |